Entry 1:
A relaxed ScGeSe2F crystal. Source: the Alexandria database, functional PBE.

a b c (Å): 4.9665 5.5563 4.9665
angles (deg): 90.00 90.00 90.00
Closest atoms and distances in Å follow each position.
Element x y z (fractional)
Sc 0.0000 0.0000 0.0000  4 Se 2.48, 2 Ge 2.78
Ge 0.0000 0.5000 0.0000  2 Sc 2.78
Se 0.0000 0.0000 0.5000  2 Sc 2.48
Se 0.5000 0.0000 0.0000  2 Sc 2.48
F 0.5000 0.5000 0.5000  4 Ge 3.51, 8 Se 3.73

Output
Magnetization (μB per atom): 0.0810
Symmetry: No. 123
V (Å³/cell): 137.05
E_form (uncorrected) (kJ per mole of atoms): -31
Final energy (eV per atom): -4.28
DOS at the Fermi energy (states/eV per atom): 0.7135

---

Entry 2:
A relaxed ScSi2GeF crystal. Source: the Alexandria database, functional PBE.

a b c (Å): 5.1096 5.2399 5.1096
angles (deg): 90.00 90.00 90.00
Closest atoms and distances in Å follow each position.
Element x y z (fractional)
Sc 0.0000 0.0000 0.0000  4 Si 2.55, 2 Ge 2.62
Ge 0.0000 0.5000 0.0000  2 Sc 2.62
Si 0.0000 0.0000 0.5000  2 Sc 2.55
Si 0.5000 0.0000 0.0000  2 Sc 2.55
F 0.5000 0.5000 0.5000  4 Ge 3.61, 8 Si 3.66

Output
Magnetization (μB per atom): 0.0000
Symmetry: No. 123
V (Å³/cell): 136.80
E_form (uncorrected) (kJ per mole of atoms): 63
Final energy (eV per atom): -4.08
DOS at the Fermi energy (states/eV per atom): 1.0236

---

Entry 3:
A relaxed GeSe2F5 crystal. Source: the Alexandria database, functional PBE.

a b c (Å): 3.7350 6.2625 6.2755
angles (deg): 92.03 78.78 82.81
Closest atoms and distances in Å follow each position.
Element x y z (fractional)
Ge 0.9653 0.0000 0.0000  6 F 1.77-1.87
Se 0.6710 0.6101 0.5643  2 Se 2.42, 1 F 2.65
Se 0.2601 0.3900 0.4357  2 Se 2.42, 1 F 2.65
F 0.8543 0.1083 0.2845  1 Ge 1.84
F 0.9939 0.7345 0.0874  1 Ge 1.77
F 0.9367 0.2654 0.9125  1 Ge 1.77
F 0.0764 0.8916 0.7155  1 Ge 1.84
F 0.4653 0.0000 0.0000  2 Ge 1.87

Output
Magnetization (μB per atom): 0.0000
Symmetry: No. 2
V (Å³/cell): 142.57
E_form (uncorrected) (kJ per mole of atoms): -164
Final energy (eV per atom): -4.32
DOS at the Fermi energy (states/eV per atom): 0.2834

---

Entry 4:
A relaxed GeSe2F crystal. Source: the Alexandria database, functional PBE.

a b c (Å): 4.5755 4.5755 4.5755
angles (deg): 60.00 60.00 60.00
Closest atoms and distances in Å follow each position.
Element x y z (fractional)
Ge 0.5000 0.5000 0.5000  8 Se 2.80
Se 0.2500 0.2500 0.2500  4 Ge 2.80, 4 F 2.80
Se 0.7500 0.7500 0.7500  4 Ge 2.80, 4 F 2.80
F 0.0000 0.0000 0.0000  8 Se 2.80

Output
Magnetization (μB per atom): 0.0000
Symmetry: No. 225
V (Å³/cell): 67.73
E_form (uncorrected) (kJ per mole of atoms): -12
Final energy (eV per atom): -3.48
Distance to the lowest polymorph of the same formula (eV/atom): 0.513
DOS at the Fermi energy (states/eV per atom): 0.8788

---

Entry 5:
A relaxed Ge3SeF crystal. Source: the Alexandria database, functional PBE.

a b c (Å): 5.2294 5.2294 5.2294
angles (deg): 90.00 90.00 90.00
Closest atoms and distances in Å follow each position.
Element x y z (fractional)
Ge 0.0000 0.5000 0.0000  2 Se 2.61
Ge 0.0000 0.0000 0.5000  2 Se 2.61
Ge 0.5000 0.0000 0.0000  2 Se 2.61
Se 0.0000 0.0000 0.0000  6 Ge 2.61
F 0.5000 0.5000 0.5000  12 Ge 3.70

Output
Magnetization (μB per atom): 0.0000
Symmetry: No. 221
V (Å³/cell): 143.00
E_form (uncorrected) (kJ per mole of atoms): 45
Final energy (eV per atom): -3.38
Distance to the lowest polymorph of the same formula (eV/atom): 0.354
DOS at the Fermi energy (states/eV per atom): 0.7029

---

Entry 6:
A relaxed GeSeF3 crystal. Source: the Alexandria database, functional PBE.

a b c (Å): 5.9380 9.8879 7.6051
angles (deg): 112.82 90.00 90.00
Closest atoms and distances in Å follow each position.
Element x y z (fractional)
Ge 0.3633 0.4032 0.1390  3 F 1.74-1.76
Ge 0.6367 0.5968 0.8610  3 F 1.74-1.76
Ge 0.8633 0.0968 0.3610  3 F 1.74-1.76
Ge 0.1367 0.9032 0.6390  3 F 1.74-1.76
Se 0.6173 0.5219 0.3826  1 Ge 2.32, 1 Se 2.43
Se 0.3827 0.4781 0.6174  1 Ge 2.32, 1 Se 2.43
Se 0.1173 0.9781 0.1174  1 Ge 2.32, 1 Se 2.43
Se 0.8827 0.0219 0.8826  1 Ge 2.32, 1 Se 2.43
F 0.1143 0.3609 0.2284  1 Ge 1.74
F 0.8857 0.6391 0.7716  1 Ge 1.74
F 0.6143 0.1391 0.2716  1 Ge 1.74
F 0.3857 0.8609 0.7284  1 Ge 1.74
F 0.0606 0.7392 0.4558  1 Ge 1.74
F 0.9394 0.2608 0.5442  1 Ge 1.74
F 0.5606 0.7608 0.0442  1 Ge 1.74
F 0.4394 0.2392 0.9558  1 Ge 1.74
F 0.7695 0.9928 0.4896  1 Ge 1.76
F 0.2305 0.0072 0.5104  1 Ge 1.76
F 0.2695 0.5072 0.0104  1 Ge 1.76
F 0.7305 0.4928 0.9896  1 Ge 1.76

Output
Magnetization (μB per atom): 0.0000
Symmetry: No. 14
V (Å³/cell): 411.58
E_form (uncorrected) (kJ per mole of atoms): -172
Final energy (eV per atom): -4.53
Distance to the lowest polymorph of the same formula (eV/atom): 0.000
DOS at the Fermi energy (states/eV per atom): 0.0000

---

Entry 7:
A relaxed GeSe2F crystal. Source: the Alexandria database, functional PBE.

a b c (Å): 7.7318 7.7318 7.7318
angles (deg): 27.81 27.81 27.81
Closest atoms and distances in Å follow each position.
Element x y z (fractional)
Ge 0.5000 0.5000 0.5000  6 Se 2.64
Se 0.9022 0.9022 0.9022  1 F 2.18
Se 0.0978 0.0978 0.0978  1 F 2.18
F 0.0000 0.0000 0.0000  2 Se 2.18

Output
Magnetization (μB per atom): 0.0000
Symmetry: No. 166
V (Å³/cell): 88.84
E_form (uncorrected) (kJ per mole of atoms): -32
Final energy (eV per atom): -3.69
Distance to the lowest polymorph of the same formula (eV/atom): 0.304
DOS at the Fermi energy (states/eV per atom): 0.3715

---

Entry 8:
A relaxed GeSeF3 crystal. Source: the Alexandria database, functional PBE.

a b c (Å): 4.3480 4.3480 4.3480
angles (deg): 90.00 90.00 90.00
Closest atoms and distances in Å follow each position.
Element x y z (fractional)
Ge 0.0000 0.0000 0.0000  6 F 2.17
Se 0.5000 0.5000 0.5000  12 F 3.07
F 0.0000 0.5000 0.0000  2 Ge 2.17
F 0.0000 0.0000 0.5000  2 Ge 2.17
F 0.5000 0.0000 0.0000  2 Ge 2.17

Output
Magnetization (μB per atom): 0.5465
Symmetry: No. 221
V (Å³/cell): 82.20
E_form (uncorrected) (kJ per mole of atoms): -107
Final energy (eV per atom): -3.85
Distance to the lowest polymorph of the same formula (eV/atom): 0.680
DOS at the Fermi energy (states/eV per atom): 0.6013

---

> magnetization of number 3 (GeSe2F5)?

0.0000 μB per atom

---

> V of number 1 (ScGeSe2F)?

137.05 Å³/cell

---

> Which formula does entry 2 have?

ScSi2GeF